Compound: SiPt2W
Source: OQMD via LeMat-Bulk
Functional: PBE-GGA
Structure: relaxed

Cell lengths 4.411, 4.411, 4.411 Å; angles 60.00, 60.00, 60.00 degrees
Sites, in units of the cell vectors:
Pt (0.750, 0.750, 0.750)
Pt (0.000, 0.000, 0.000)
Si (0.500, 0.500, 0.500)
W (0.250, 0.250, 0.250)

VASP energy = -7.663 eV/atom
Crystal system = cubic